(1)
First-principles (GGA-PBEsol) data for a relaxed AsH3W crystal, as listed in Alexandria via LeMat-Bulk.

Unit cell a=3.548 b=3.548 c=3.548 alpha=90.00 beta=90.00 gamma=90.00
Positions (direct):
As: 0.000 0.000 0.000
H: 0.000 0.500 0.500
H: 0.500 0.000 0.500
H: 0.500 0.500 0.000
W: 0.500 0.500 0.500

As for the symmetry: Pm-3m. The calculation puts the uncorrected energy at -25.88 eV/cell. As for the crystal system: cubic.

---

(2)
First-principles (GGA-PBEsol) data for a relaxed Zn3AsH crystal, as listed in Alexandria via LeMat-Bulk.

Unit cell a=4.061 b=4.061 c=4.061 alpha=90.00 beta=90.00 gamma=90.00
Positions (direct):
Zn: 0.000 0.000 0.500
Zn: 0.000 0.500 0.000
Zn: 0.500 0.000 0.000
As: 0.500 0.500 0.500
H: 0.000 0.000 0.000

As for the symmetry: Pm-3m. The calculation puts the uncorrected energy at -11.74 eV/cell. As for the crystal system: cubic.

---

(3)
First-principles (GGA-PBEsol) data for a relaxed ZnAs2H crystal, as listed in Alexandria via LeMat-Bulk.

Unit cell a=7.251 b=7.251 c=7.251 alpha=144.25 beta=144.25 gamma=51.46
Positions (direct):
Zn: 0.000 0.000 0.000
Zn: 0.750 0.250 0.500
As: 0.231 0.625 0.106
As: 0.375 0.481 0.606
As: 0.519 0.125 0.894
As: 0.875 0.769 0.394
H: 0.250 0.750 0.500
H: 0.500 0.500 0.000

As for the symmetry: I-42d. The calculation puts the uncorrected energy at -27.31 eV/cell. As for the crystal system: tetragonal.

---

(4)
First-principles (GGA-PBEsol) data for a relaxed ZrAs3H crystal, as listed in Alexandria via LeMat-Bulk.

Unit cell a=5.122 b=5.122 c=5.122 alpha=90.00 beta=90.00 gamma=90.00
Positions (direct):
Zr: 0.000 0.000 0.000
As: 0.000 0.000 0.500
As: 0.000 0.500 0.000
As: 0.500 0.000 0.000
H: 0.500 0.500 0.500

As for the symmetry: Pm-3m. The calculation puts the uncorrected energy at -24.03 eV/cell. As for the crystal system: cubic.

---

(5)
First-principles (GGA-PBEsol) data for a relaxed Hf3As2 crystal, as listed in Alexandria via LeMat-Bulk.

Unit cell a=10.397 b=3.632 c=9.990 alpha=90.00 beta=90.00 gamma=90.00
Positions (direct):
Hf: 0.044 0.250 0.124
Hf: 0.125 0.750 0.568
Hf: 0.213 0.250 0.794
Hf: 0.287 0.750 0.294
Hf: 0.375 0.250 0.068
Hf: 0.456 0.750 0.624
Hf: 0.544 0.250 0.376
Hf: 0.625 0.750 0.932
Hf: 0.713 0.250 0.706
Hf: 0.787 0.750 0.206
Hf: 0.875 0.250 0.432
Hf: 0.956 0.750 0.876
As: 0.032 0.750 0.322
As: 0.195 0.750 0.999
As: 0.305 0.250 0.499
As: 0.468 0.250 0.822
As: 0.532 0.750 0.178
As: 0.695 0.750 0.501
As: 0.805 0.250 0.001
As: 0.968 0.250 0.678

As for the symmetry: Pnma. The formation energy from the elements is -0.97 eV/atom. The calculation puts the uncorrected energy at -186.30 eV/cell. As for the crystal system: orthorhombic.

---

(6)
First-principles (GGA-PBEsol) data for a relaxed HfAs crystal, as listed in Alexandria via LeMat-Bulk.

Unit cell a=3.721 b=3.721 c=6.536 alpha=90.00 beta=90.00 gamma=120.00
Positions (direct):
Hf: 0.000 0.000 0.000
Hf: 0.000 0.000 0.500
As: 0.333 0.667 0.250
As: 0.667 0.333 0.750

As for the symmetry: P6_3/mmc. The formation energy from the elements is -1.01 eV/atom. The calculation puts the uncorrected energy at -35.24 eV/cell. As for the crystal system: hexagonal.

---

(7)
First-principles (GGA-PBEsol) data for a relaxed Hf2HgAs crystal, as listed in Alexandria via LeMat-Bulk.

Unit cell a=4.763 b=4.763 c=4.763 alpha=60.00 beta=60.00 gamma=60.00
Positions (direct):
Hf: 0.250 0.250 0.250
Hf: 0.750 0.750 0.750
Hg: 0.000 0.000 0.000
As: 0.500 0.500 0.500

As for the symmetry: Fm-3m. The formation energy from the elements is -0.31 eV/atom. The calculation puts the uncorrected energy at -27.90 eV/cell. As for the crystal system: cubic.

---

(8)
First-principles (GGA-PBEsol) data for a relaxed HfHg2AsW crystal, as listed in Alexandria via LeMat-Bulk.

Unit cell a=5.165 b=5.165 c=4.641 alpha=90.00 beta=90.00 gamma=90.00
Positions (direct):
Hf: 0.000 0.000 0.000
Hg: 0.000 0.500 0.500
Hg: 0.500 0.000 0.500
As: 0.500 0.500 0.000
W: 0.500 0.500 0.500

As for the symmetry: P4/mmm. The formation energy from the elements is 1.08 eV/atom. The calculation puts the uncorrected energy at -25.14 eV/cell. As for the crystal system: tetragonal.

---

(9)
First-principles (GGA-PBEsol) data for a relaxed HfAsSe2I crystal, as listed in Alexandria via LeMat-Bulk.

Unit cell a=5.143 b=5.143 c=5.255 alpha=90.00 beta=90.00 gamma=90.00
Positions (direct):
Hf: 0.000 0.000 0.000
As: 0.500 0.500 0.000
Se: 0.000 0.500 0.500
Se: 0.500 0.000 0.500
I: 0.500 0.500 0.500

As for the symmetry: P4/mmm. The calculation puts the uncorrected energy at -19.49 eV/cell. As for the crystal system: tetragonal.

---

(10)
First-principles (GGA-PBEsol) data for a relaxed HfTe2AsI crystal, as listed in Alexandria via LeMat-Bulk.

Unit cell a=5.276 b=5.276 c=5.346 alpha=90.00 beta=90.00 gamma=90.00
Positions (direct):
Hf: 0.000 0.000 0.000
Te: 0.000 0.500 0.500
Te: 0.500 0.000 0.500
As: 0.500 0.500 0.500
I: 0.500 0.500 0.000

As for the symmetry: P4/mmm. The calculation puts the uncorrected energy at -20.96 eV/cell. As for the crystal system: tetragonal.

---

(11)
First-principles (GGA-PBEsol) data for a relaxed HfIn3As crystal, as listed in Alexandria via LeMat-Bulk.

Unit cell a=5.447 b=5.447 c=5.447 alpha=90.00 beta=90.00 gamma=90.00
Positions (direct):
Hf: 0.000 0.000 0.000
In: 0.000 0.000 0.500
In: 0.000 0.500 0.000
In: 0.500 0.000 0.000
As: 0.500 0.500 0.500

As for the symmetry: Pm-3m. The formation energy from the elements is 0.97 eV/atom. The calculation puts the uncorrected energy at -19.72 eV/cell. As for the crystal system: cubic.

---

(12)
First-principles (GGA-PBEsol) data for a relaxed HfInAs2 crystal, as listed in Alexandria via LeMat-Bulk.

Unit cell a=7.355 b=7.355 c=7.355 alpha=130.47 beta=130.47 gamma=72.65
Positions (direct):
Hf: 0.000 0.000 0.000
Hf: 0.750 0.250 0.500
In: 0.250 0.750 0.500
In: 0.500 0.500 0.000
As: 0.108 0.625 0.983
As: 0.375 0.358 0.483
As: 0.642 0.125 0.017
As: 0.875 0.892 0.517

As for the symmetry: I-42d. The formation energy from the elements is -0.14 eV/atom. The calculation puts the uncorrected energy at -48.53 eV/cell. As for the crystal system: tetragonal.